Here is Ag2AuBr8 after structural relaxation from the Alexandria database. Energies are from PBE-GGA.

abc: 8.0731 8.0731 7.0165
angles: 93.96 93.96 61.93
Last column: nearest neighbours and their distance in Å.
Fractional coordinates of all 11 atoms:
Ag: 0.1676 0.1676 0.4593  4 Br 2.60-2.70
Ag: 0.8324 0.8324 0.5407  4 Br 2.60-2.70
Au: 0.0000 0.0000 0.0000  6 Br 2.54-2.63
Br: 0.1493 0.7028 0.7660  1 Au 2.63, 1 Ag 2.70
Br: 0.1584 0.1584 0.8406  1 Au 2.54, 1 Ag 2.69
Br: 0.2972 0.8507 0.2340  1 Au 2.63, 1 Ag 2.70
Br: 0.3550 0.3550 0.5231  1 Ag 2.60
Br: 0.6450 0.6450 0.4769  1 Ag 2.60
Br: 0.7028 0.1493 0.7660  1 Au 2.63, 1 Ag 2.70
Br: 0.8416 0.8416 0.1594  1 Au 2.54, 1 Ag 2.69
Br: 0.8507 0.2972 0.2340  1 Au 2.63, 1 Ag 2.70

Summary:
Energy relative to the elements, uncorrected   -0.063 eV per atom
D(E_F)   14.233 states/eV per cell